Below is a geometry-optimized V2CdAgO6 structure, with properties calculated at the GGA+U level.

The value obtained for the spin magnetization is 4.00 Bohr magnetons per cell. The calculation puts the final energy at -250.00 eV per cell.

The structure belongs to space group C2/c (No. 15); the cell edges are 11.212, 10.924 and 5.952 Å and the angles 90.00°, 113.58° and 90.00°. Symmetry generates all atoms from V at (0.203, 0.084, 0.227), Cd at (0.000, 0.265, 0.750), Ag at (0.000, 0.398, 0.250), O at (0.119, 0.221, 0.125), O at (0.128, 0.399, 0.655) and O at (0.159, 0.016, 0.462).